VASP calculation (PBE) on a relaxed CsThPa crystal.

The structure belongs to space group F-43m (No. 216); the cell edges are 7.516, 7.516 and 7.516 Å and the angles 90.00°, 90.00° and 90.00°. The asymmetric unit holds Cs at (0.000, 0.000, 0.000), Th at (0.250, 0.250, 0.250) and Pa at (0.250, 0.250, 0.750).

As for the excess energy over the best structure of this formula in the dataset: 34 kJ/mol of formula units. The calculation puts the mass density at 9.32 g/cm3. For the volume, the calculation gives 35.4 Å³ per atom. As for the total energy: -47.3 eV for the cell shown.


VASP calculation (PBE) on a relaxed CsPaTl crystal.

The structure belongs to space group F-43m (No. 216); the cell edges are 8.030, 8.030 and 8.030 Å and the angles 90.00°, 90.00° and 90.00°. The asymmetric unit holds Cs at (0.000, 0.000, 0.000), Pa at (0.000, 0.000, 0.500) and Tl at (0.250, 0.250, 0.250).

As for the excess energy over the best structure of this formula in the dataset: 0 kJ/mol of formula units. The calculation puts the mass density at 7.29 g/cm3. For the volume, the calculation gives 43.1 Å³ per atom. As for the total energy: -35.5 eV for the cell shown.


VASP calculation (PBE) on a relaxed CsPaTl crystal.

The structure belongs to space group F-43m (No. 216); the cell edges are 7.520, 7.520 and 7.520 Å and the angles 90.00°, 90.00° and 90.00°. The asymmetric unit holds Cs at (0.000, 0.000, 0.000), Pa at (0.250, 0.250, 0.250) and Tl at (0.250, 0.250, 0.750).

As for the excess energy over the best structure of this formula in the dataset: 84 kJ/mol of formula units. The calculation puts the mass density at 8.88 g/cm3. For the volume, the calculation gives 35.4 Å³ per atom. As for the total energy: -32.0 eV for the cell shown.


VASP calculation (PBE) on a relaxed CsYPa crystal.

The structure belongs to space group F-43m (No. 216); the cell edges are 7.559, 7.559 and 7.559 Å and the angles 90.00°, 90.00° and 90.00°. The asymmetric unit holds Cs at (0.000, 0.000, 0.000), Y at (0.250, 0.250, 0.250) and Pa at (0.250, 0.250, 0.750).

As for the excess energy over the best structure of this formula in the dataset: 9 kJ/mol of formula units. The calculation puts the mass density at 6.96 g/cm3. For the volume, the calculation gives 36.0 Å³ per atom. As for the total energy: -44.8 eV for the cell shown.